# BaFeAgF2 PBE+U relaxed
# Mass density (g cm⁻³): 4.83
# Symmetry: P4/mmm
# Spin magnetization (Bohr magnetons per cell): 3.1
# Density of states at the Fermi level (states/eV/atom): 0.107
# Uncorrected energy (eV/atom): -3.79
data_BaFeAgF2
_space_group_name_H-M_alt 'P 1'
_space_group_IT_number 1
_cell_length_a 4.8540
_cell_length_b 4.8540
_cell_length_c 4.9463
_cell_angle_alpha 90.00
_cell_angle_beta 90.00
_cell_angle_gamma 90.00
loop_
_space_group_symop_operation_xyz
'x,y,z'
loop_
_atom_site_label
_atom_site_type_symbol
_atom_site_fract_x
_atom_site_fract_y
_atom_site_fract_z
Ba1 Ba 0.0000 0.0000 0.0000
Fe1 Fe 0.5000 0.5000 0.0000
Ag1 Ag 0.5000 0.5000 0.5000
F1 F 0.0000 0.5000 0.5000
F2 F 0.5000 0.0000 0.5000